A plane-wave DFT calculation with GGA-PBE was carried out for a relaxed CsNaMnSe3 crystal.

Volume   364.8 Å³ per cell
ΔE_f (raw)   -0.782 eV/atom
DFT total energy   -53.0 eV for the cell shown

Cell and atoms, written as CIF:
```
data_CsNaMnSe3
_space_group_name_H-M_alt 'P 1'
_space_group_IT_number 1
_space_group_name_Hall 'P 1'
_cell_length_a 7.062
_cell_length_b 7.424
_cell_length_c 7.887
_cell_angle_alpha 118.08
_cell_angle_beta 90.00
_cell_angle_gamma 90.00
loop_
_atom_site_label
_atom_site_type_symbol
_atom_site_fract_x
_atom_site_fract_y
_atom_site_fract_z
_atom_site_occupancy
Se1 Se 0.750 0.786 0.572 1
Se2 Se 0.250 0.214 0.428 1
Cs1 Cs 0.750 0.240 0.481 1
Mn1 Mn 0.750 0.953 0.905 1
Na1 Na 0.750 0.582 0.164 1
Se3 Se 0.000 0.784 0.000 1
Mn2 Mn 0.250 0.047 0.095 1
Se4 Se 0.500 0.216 0.000 1
Se5 Se 0.500 0.784 0.000 1
Cs2 Cs 0.250 0.760 0.519 1
Na2 Na 0.250 0.418 0.836 1
Se6 Se 0.000 0.216 0.000 1
```

A plane-wave DFT calculation with GGA-PBE was carried out for a relaxed CsNa2MnSi crystal.

Volume   157.6 Å³ per cell
ΔE_f (raw)   1.342 eV/atom
DFT total energy   -11.4 eV for the cell shown

Cell and atoms, written as CIF:
```
data_CsNa2MnSi
_space_group_name_H-M_alt 'P 1'
_space_group_IT_number 1
_space_group_name_Hall 'P 1'
_cell_length_a 5.505
_cell_length_b 5.201
_cell_length_c 5.505
_cell_angle_alpha 90.00
_cell_angle_beta 90.00
_cell_angle_gamma 90.00
loop_
_atom_site_label
_atom_site_type_symbol
_atom_site_fract_x
_atom_site_fract_y
_atom_site_fract_z
_atom_site_occupancy
Cs1 Cs 0.000 0.500 0.000 1
Na1 Na 0.500 0.000 0.000 1
Na2 Na 0.000 0.000 0.500 1
Si1 Si 0.500 0.500 0.500 1
Mn1 Mn 0.000 0.000 0.000 1
```